# 1
The following is a DFT calculation (GGA-PBE) of a relaxed structure of CeSm4Mg.

Cell: 3.5961 3.5961 14.5600 Å, 90.00 90.00 90.00°
Site moments in Bohr magnetons follow the coordinates.
Atoms (fractional coordinates):
Ce: 0.0000 0.0000 0.0000  0.62
Sm: 0.5000 0.5000 0.1703  0.00
Sm: 0.0000 0.0000 0.6522  -0.01
Sm: 0.0000 0.0000 0.3478  -0.01
Sm: 0.5000 0.5000 0.8297  0.00
Mg: 0.5000 0.5000 0.5000  0.00

Computed properties:
- Space group: P4/mmm (123)
- Electronic total energy: -26.30 eV/cell
- Total moment: 0.116 μB/atom
- Calculated formation energy: 0.02 eV/atom

---

# 2
The following is a DFT calculation (GGA-PBE) of a relaxed structure of CeSmMg.

Cell: 3.4645 3.4645 13.9897 Å, 90.00 90.00 90.00°
Atoms (fractional coordinates):
Ce: 0.0000 0.5000 0.5795
Ce: 0.5000 0.0000 0.4205
Sm: 0.0000 0.5000 0.2402
Sm: 0.5000 0.0000 0.7598
Mg: 0.5000 0.0000 0.0684
Mg: 0.0000 0.5000 0.9316

Computed properties:
- Space group: P4/nmm (129)
- Electronic total energy: -24.49 eV/cell
- Total moment: 0.000 μB/atom
- Polymorph energy (0 for the lowest one): 0 meV/atom
- Calculated formation energy: 0.00 eV/atom

---

# 3
The following is a DFT calculation (GGA-PBE) of a relaxed structure of CeSm2Mg6.

Cell: 9.1684 9.1684 3.2725 Å, 90.00 90.00 120.00°
Site moments in Bohr magnetons follow the coordinates.
Atoms (fractional coordinates):
Ce: 0.0000 0.0000 0.0000  0.98
Sm: 0.3333 0.6667 0.0000  0.00
Sm: 0.6667 0.3333 0.0000  0.00
Mg: 0.6664 0.0000 0.5000  0.00
Mg: 0.0000 0.6664 0.5000  0.00
Mg: 0.3336 0.0000 0.5000  0.00
Mg: 0.6664 0.6664 0.5000  0.00
Mg: 0.0000 0.3336 0.5000  0.00
Mg: 0.3336 0.3336 0.5000  0.00

Computed properties:
- Space group: P6/mmm (191)
- Electronic total energy: -25.48 eV/cell
- Total moment: 0.142 μB/atom
- Calculated formation energy: -0.06 eV/atom

---

# 4
The following is a DFT calculation (GGA-PBE) of a relaxed structure of CeSmMg.

Cell: 3.4182 3.4182 7.8883 Å, 102.51 102.51 90.00°
Site moments in Bohr magnetons follow the coordinates.
Atoms (fractional coordinates):
Mg: 0.6667 0.6667 0.3334  0.00
Sm: 0.3282 0.3282 0.6565  0.02
Ce: 0.0051 0.0051 0.0101  0.78

Computed properties:
- Space group: I4mm (107)
- Electronic total energy: -12.12 eV/cell
- Total moment: 0.328 μB/atom
- Polymorph energy (0 for the lowest one): 42 meV/atom
- Calculated formation energy: 0.04 eV/atom

---

# 5
The following is a DFT calculation (GGA-PBE) of a relaxed structure of CeSm4Mg3.

Cell: 3.7286 3.7286 16.8542 Å, 90.00 90.00 90.00°
Site moments in Bohr magnetons follow the coordinates.
Atoms (fractional coordinates):
Mg: 0.5000 0.5000 0.2613  0.00
Mg: 0.5000 0.5000 0.5000  0.00
Mg: 0.5000 0.5000 0.7387  0.00
Sm: 0.0000 0.0000 0.8619  0.00
Sm: 0.0000 0.0000 0.1381  0.00
Sm: 0.0000 0.0000 0.3836  0.00
Sm: 0.0000 0.0000 0.6164  0.00
Ce: 0.5000 0.5000 0.0000  0.50

Computed properties:
- Space group: P4/mmm (123)
- Electronic total energy: -29.90 eV/cell
- Total moment: 0.072 μB/atom
- Calculated formation energy: -0.04 eV/atom

---

# 6
The following is a DFT calculation (GGA-PBE) of a relaxed structure of Ce2SmMg2Sn2.

Cell: 4.8042 4.8042 9.6359 Å, 75.56 75.56 60.00°
Site moments in Bohr magnetons follow the coordinates.
Atoms (fractional coordinates):
Ce: 0.1443 0.1443 0.5672  1.06
Ce: 0.8557 0.8557 0.4328  1.06
Sm: 0.0000 0.0000 0.0000  0.04
Mg: 0.5871 0.5871 0.2388  0.00
Mg: 0.4129 0.4129 0.7612  0.00
Sn: 0.7324 0.7324 0.8028  0.00
Sn: 0.2676 0.2676 0.1972  0.00

Computed properties:
- Space group: R-3m (166)
- Electronic total energy: -29.93 eV/cell
- Total moment: 0.400 μB/atom
- Calculated formation energy: -0.31 eV/atom

---

# 7
The following is a DFT calculation (GGA-PBE) of a relaxed structure of TbCeSmMg.

Cell: 5.5290 5.5290 5.5290 Å, 60.00 60.00 60.00°
Site moments in Bohr magnetons follow the coordinates.
Atoms (fractional coordinates):
Mg: 0.2500 0.2500 0.2500  0.00
Tb: 0.0000 0.0000 0.0000  0.07
Ce: 0.7500 0.7500 0.7500  0.70
Sm: 0.5000 0.5000 0.5000  0.06

Computed properties:
- Space group: F-43m (216)
- Electronic total energy: -16.30 eV/cell
- Total moment: 0.257 μB/atom
- Calculated formation energy: 0.14 eV/atom

---

# 8
The following is a DFT calculation (GGA-PBE) of a relaxed structure of Ce3Sm3MgTe8.

Cell: 8.9028 8.9027 8.9131 Å, 119.96 90.00 120.00°
Site moments in Bohr magnetons follow the coordinates.
Atoms (fractional coordinates):
Ce: 0.5000 0.0000 0.5000  0.98
Ce: 0.5000 0.5000 0.5000  0.98
Ce: 0.0000 0.5000 0.5000  0.98
Sm: 0.0000 0.0000 0.0000  0.01
Sm: 0.0000 0.5000 0.0000  0.01
Sm: 0.5000 0.5000 0.0000  0.01
Mg: 0.0000 0.0000 0.5000  0.00
Te: 0.2488 0.4976 0.2463  -0.01
Te: 0.7512 0.5024 0.7537  -0.01
Te: 0.7567 0.5134 0.2541  -0.01
Te: 0.2433 0.4866 0.7459  -0.01
Te: 0.7568 0.9973 0.2541  -0.01
Te: 0.2432 0.0027 0.7459  -0.01
Te: 0.2406 0.9974 0.2541  -0.01
Te: 0.7594 0.0026 0.7459  -0.01

Computed properties:
- Space group: R-3m (166)
- Electronic total energy: -78.40 eV/cell
- Total moment: 0.225 μB/atom
- Energy relative to the elements, uncorrected: -1.314 eV/atom

---

# 9
The following is a DFT calculation (GGA-PBE) of a relaxed structure of CeSmThMg.

Cell: 5.5025 5.5025 5.5025 Å, 60.00 60.00 60.00°
Atoms (fractional coordinates):
Mg: 0.7500 0.7500 0.7500
Ce: 0.2500 0.2500 0.2500
Sm: 0.0000 0.0000 0.0000
Th: 0.5000 0.5000 0.5000

Computed properties:
- Space group: F-43m (216)
- Electronic total energy: -18.97 eV/cell
- Total moment: 0.000 μB/atom
- Calculated formation energy: 0.17 eV/atom

---

# 10
The following is a DFT calculation (GGA-PBE) of a relaxed structure of CeSmMgTl.

Cell: 5.4632 5.4632 5.4632 Å, 60.00 60.00 60.00°
Site moments in Bohr magnetons follow the coordinates.
Atoms (fractional coordinates):
Mg: 0.5000 0.5000 0.5000  0.01
Tl: 0.0000 0.0000 0.0000  -0.01
Ce: 0.2500 0.2500 0.2500  0.86
Sm: 0.7500 0.7500 0.7500  0.08

Computed properties:
- Space group: F-43m (216)
- Electronic total energy: -15.22 eV/cell
- Total moment: 0.311 μB/atom
- Calculated formation energy: -0.15 eV/atom

---

# 11
The following is a DFT calculation (GGA-PBE) of a relaxed structure of Ce2SmMgTl4.

Cell: 5.3489 5.3489 9.6373 Å, 73.89 73.89 60.00°
Site moments in Bohr magnetons follow the coordinates.
Atoms (fractional coordinates):
Ce: 0.7579 0.7579 0.7262  0.84
Ce: 0.2421 0.2421 0.2738  0.84
Sm: 0.0000 0.0000 0.0000  0.03
Mg: 0.5000 0.5000 0.5000  0.00
Tl: 0.3753 0.3753 0.8742  0.01
Tl: 0.8761 0.8761 0.3717  0.01
Tl: 0.1239 0.1239 0.6283  0.01
Tl: 0.6247 0.6247 0.1258  0.01

Computed properties:
- Space group: R-3m (166)
- Electronic total energy: -29.69 eV/cell
- Total moment: 0.255 μB/atom
- Calculated formation energy: -0.26 eV/atom

---

# 12
The following is a DFT calculation (GGA-PBE) of a relaxed structure of CeSmMgTl.

Cell: 4.8738 4.8737 5.8195 Å, 114.75 114.76 90.00°
Site moments in Bohr magnetons follow the coordinates.
Atoms (fractional coordinates):
Ce: 0.2500 0.7500 0.5000  0.75
Sm: 0.7500 0.2500 0.5000  0.14
Mg: 0.0000 0.0000 0.0000  0.00
Tl: 0.5000 0.5000 0.0000  0.00

Computed properties:
- Space group: I-4m2 (119)
- Electronic total energy: -15.22 eV/cell
- Total moment: 0.289 μB/atom
- Calculated formation energy: -0.15 eV/atom

---

Please write out number 8 again, unchanged.
The following is a DFT calculation (GGA-PBE) of a relaxed structure of Ce3Sm3MgTe8.

Cell: 8.9028 8.9027 8.9131 Å, 119.96 90.00 120.00°
Site moments in Bohr magnetons follow the coordinates.
Atoms (fractional coordinates):
Ce: 0.5000 0.0000 0.5000  0.98
Ce: 0.5000 0.5000 0.5000  0.98
Ce: 0.0000 0.5000 0.5000  0.98
Sm: 0.0000 0.0000 0.0000  0.01
Sm: 0.0000 0.5000 0.0000  0.01
Sm: 0.5000 0.5000 0.0000  0.01
Mg: 0.0000 0.0000 0.5000  0.00
Te: 0.2488 0.4976 0.2463  -0.01
Te: 0.7512 0.5024 0.7537  -0.01
Te: 0.7567 0.5134 0.2541  -0.01
Te: 0.2433 0.4866 0.7459  -0.01
Te: 0.7568 0.9973 0.2541  -0.01
Te: 0.2432 0.0027 0.7459  -0.01
Te: 0.2406 0.9974 0.2541  -0.01
Te: 0.7594 0.0026 0.7459  -0.01

Computed properties:
- Space group: R-3m (166)
- Electronic total energy: -78.40 eV/cell
- Total moment: 0.225 μB/atom
- Energy relative to the elements, uncorrected: -1.314 eV/atom

---

Question: Which of these has the highest electronic total energy?
Answer: number 4